(1)
{"formula": "CdNiS2", "functional": "GGA-PBE", "state": "relaxed", "lattice_angstrom": [[5.545, 0.000, 0.000], [0.000, 5.545, 0.000], [2.773, 2.773, 5.368]], "species": ["Cd", "Cd", "S", "S", "S", "S", "Ni", "Ni"], "frac_coords": [[0.000, 0.000, 0.000], [0.750, 0.250, 0.500], [0.185, 0.625, 0.250], [0.565, 0.125, 0.250], [0.375, 0.435, 0.750], [0.875, 0.815, 0.750], [0.250, 0.750, 0.500], [0.500, 0.500, 0.000]], "raw_formation_energy_ev_per_atom": -0.372, "volume_a3_per_atom": 20.6}

***

(2)
{"formula": "Cs4PS5", "functional": "GGA-PBE", "state": "relaxed", "lattice_angstrom": [[-7.617, -2.468, 1.637], [3.469, 1.831, -7.170], [4.191, -6.728, 1.991]], "species": ["S", "S", "S", "S", "S", "P", "Cs", "Cs", "Cs", "Cs"], "frac_coords": [[0.193, 0.060, 0.259], [0.622, 0.622, 0.000], [0.801, 0.934, 0.741], [0.060, 0.801, 0.867], [0.934, 0.193, 0.133], [0.921, 0.921, 0.000], [0.197, 0.393, 0.611], [0.782, 0.587, 0.389], [0.587, 0.197, 0.805], [0.393, 0.782, 0.195]], "raw_formation_energy_ev_per_atom": -0.701, "volume_a3_per_atom": 38.0}

***

(3)
{"formula": "CaMg2Ga2Pd", "functional": "GGA-PBE", "state": "relaxed", "lattice_angstrom": [[-3.031, -2.711, -3.294], [-1.425, -3.166, 3.916], [-1.988, 6.256, 0.838]], "species": ["Ca", "Ga", "Ga", "Mg", "Mg", "Pd"], "frac_coords": [[0.500, 0.500, 0.000], [0.780, 0.780, 0.560], [0.220, 0.220, 0.440], [0.750, 0.250, 0.500], [0.250, 0.750, 0.500], [0.000, 0.000, 0.000]], "volume_a3_per_atom": 25.0}

***

(4)
{"formula": "Cs2BiTe3", "functional": "GGA-PBE", "state": "relaxed", "lattice_angstrom": [[6.811, 0.000, 0.000], [0.000, 9.014, -3.147], [0.000, -0.013, 9.548]], "species": ["Cs", "Cs", "Cs", "Cs", "Bi", "Bi", "Te", "Te", "Te", "Te", "Te", "Te"], "frac_coords": [[0.750, 0.476, 0.188], [0.250, 0.812, 0.524], [0.750, 0.188, 0.476], [0.250, 0.524, 0.812], [0.750, 0.896, 0.896], [0.250, 0.104, 0.104], [0.000, 0.844, 0.156], [0.250, 0.365, 0.365], [0.500, 0.844, 0.156], [0.750, 0.635, 0.635], [0.500, 0.156, 0.844], [0.000, 0.156, 0.844]], "raw_formation_energy_ev_per_atom": -0.667, "e_above_lowest_polymorph_ev_per_fu": 0.00, "volume_a3_per_atom": 48.8}

***

(5)
{"formula": "TcBP3", "functional": "GGA-PBE", "state": "relaxed", "lattice_angstrom": [[-0.981, 2.786, 2.739], [-3.601, -1.740, 0.479], [1.514, -2.332, 2.915]], "species": ["Tc", "P", "P", "P", "B"], "frac_coords": [[0.500, 0.500, 0.500], [0.000, 0.500, 0.000], [0.000, 0.000, 0.500], [0.500, 0.000, 0.000], [0.000, 0.000, 0.000]], "e_above_lowest_polymorph_ev_per_fu": 0.00, "volume_a3_per_atom": 13.1}

***

(6)
{"formula": "TbFe5Si2", "functional": "GGA-PBE", "state": "relaxed", "lattice_angstrom": [[-3.267, 1.071, -0.138], [-1.949, -1.146, -5.623], [-3.445, -4.986, -0.027]], "species": ["Fe", "Fe", "Fe", "Fe", "Fe", "Si", "Si", "Tb"], "frac_coords": [[0.000, 0.500, 0.500], [0.649, 0.537, 0.165], [0.351, 0.835, 0.463], [0.351, 0.463, 0.835], [0.649, 0.165, 0.537], [0.254, 0.246, 0.246], [0.746, 0.754, 0.754], [0.000, 0.000, 0.000]], "raw_formation_energy_ev_per_atom": -0.327, "volume_a3_per_atom": 13.9}

***

(7)
{"formula": "NdMnSi2Mo", "functional": "GGA-PBE", "state": "relaxed", "lattice_angstrom": [[4.014, 0.000, 0.000], [0.000, 4.014, 0.000], [-2.007, -2.007, 5.516]], "species": ["Mn", "Si", "Si", "Nd", "Mo"], "frac_coords": [[0.750, 0.250, 0.500], [0.385, 0.385, 0.770], [0.615, 0.615, 0.230], [0.000, 0.000, 0.000], [0.250, 0.750, 0.500]], "raw_formation_energy_ev_per_atom": -0.492, "volume_a3_per_atom": 17.8}

***

(8)
{"formula": "ZrTa3Os", "functional": "GGA-PBE", "state": "relaxed", "lattice_angstrom": [[-1.074, -0.837, -4.561], [-1.645, -4.309, 1.178], [-4.336, 1.842, 0.683]], "species": ["Ta", "Ta", "Ta", "Os", "Zr"], "frac_coords": [[0.000, 0.000, 0.500], [0.000, 0.500, 0.000], [0.500, 0.000, 0.000], [0.500, 0.500, 0.500], [0.000, 0.000, 0.000]], "e_above_lowest_polymorph_ev_per_fu": 7.07, "volume_a3_per_atom": 21.6}

***

(9)
{"formula": "BaZr2CoAg", "functional": "GGA-PBE", "state": "relaxed", "lattice_angstrom": [[-1.145, 3.924, -2.655], [-1.666, -3.154, -3.942], [-4.485, -0.017, 1.909]], "species": ["Co", "Zr", "Zr", "Ag", "Ba"], "frac_coords": [[0.000, 0.000, 0.000], [0.000, 0.000, 0.500], [0.500, 0.000, 0.000], [0.000, 0.500, 0.000], [0.500, 0.500, 0.500]], "volume_a3_per_atom": 25.3}

***

(10)
{"formula": "Tb2ScCo", "functional": "GGA-PBE", "state": "relaxed", "lattice_angstrom": [[-2.764, 4.409, -3.155], [-6.057, -2.387, 1.972], [0.260, 5.491, 7.446]], "species": ["Tb", "Tb", "Tb", "Tb", "Tb", "Tb", "Tb", "Tb", "Co", "Co", "Co", "Co", "Sc", "Sc", "Sc", "Sc"], "frac_coords": [[0.323, 0.182, 0.433], [0.677, 0.818, 0.567], [0.677, 0.818, 0.933], [0.177, 0.682, 0.433], [0.823, 0.318, 0.567], [0.823, 0.318, 0.933], [0.323, 0.182, 0.067], [0.177, 0.682, 0.067], [0.977, 0.615, 0.750], [0.523, 0.115, 0.750], [0.023, 0.385, 0.250], [0.477, 0.885, 0.250], [0.147, 0.954, 0.750], [0.353, 0.454, 0.750], [0.647, 0.546, 0.250], [0.853, 0.046, 0.250]], "e_above_lowest_polymorph_ev_per_fu": 0.00, "volume_a3_per_atom": 23.9}

***

(11)
{"formula": "Ho3ErTh2As6", "functional": "GGA-PBE", "state": "relaxed", "lattice_angstrom": [[4.162, 0.000, 0.000], [0.000, 8.283, 0.304], [-2.081, -2.378, 8.725]], "species": ["As", "As", "As", "As", "As", "As", "Ho", "Ho", "Ho", "Er", "Th", "Th"], "frac_coords": [[0.666, 0.076, 0.332], [0.998, 0.248, 0.995], [0.334, 0.924, 0.668], [0.665, 0.588, 0.330], [0.335, 0.412, 0.670], [0.002, 0.752, 0.005], [0.834, 0.166, 0.667], [0.166, 0.834, 0.333], [0.500, 0.500, 0.000], [0.500, 0.000, 0.000], [0.835, 0.670, 0.671], [0.165, 0.330, 0.329]], "volume_a3_per_atom": 25.3}

***

(12)
{"formula": "KRb2In2", "functional": "GGA-PBE", "state": "relaxed", "lattice_angstrom": [[-10.073, 4.295, 0.940], [-1.903, -6.376, 8.747], [1.452, 2.876, 2.413]], "species": ["In", "In", "In", "In", "Rb", "Rb", "Rb", "Rb", "K", "K"], "frac_coords": [[0.404, 0.096, 0.500], [0.904, 0.404, 0.500], [0.596, 0.904, 0.500], [0.096, 0.596, 0.500], [0.310, 0.810, 0.000], [0.810, 0.690, 0.000], [0.190, 0.310, 0.000], [0.690, 0.190, 0.000], [0.000, 0.000, 0.000], [0.500, 0.500, 0.000]], "e_above_lowest_polymorph_ev_per_fu": 0.63, "volume_a3_per_atom": 48.6}

***

DFT total energy in eV/atom, matching the order above: -4.1098, -3.6468, -2.7842, -3.1696, -5.7517, -7.5507, -7.6147, -8.7035, -5.4970, -5.8371, -6.5725, -1.5979